Density functional theory data (GGA+U) for Li4Ti3Fe3Co2O16 after structural relaxation.

Computed properties:
Calculated volume (Å³/f.u.): 282
Total energy (eV per atom): -6.784

Cell and atoms, written as POSCAR:
```
Li4Ti3Fe3Co2O16
1.0
-5.314 -1.238 -2.041
4.355 -3.887 -0.662
-2.151 -3.915 8.359
Fe Co Li O Ti
3 2 4 16 3
Cartesian
-1.668 -2.215 1.642
0.980 -6.539 5.624
-2.137 -4.716 0.306
-2.077 -2.138 -1.433
0.026 -5.083 3.181
-3.359 -4.462 3.478
0.952 -3.370 -0.170
-0.134 -0.066 -0.009
-1.111 -2.008 4.184
-2.905 -1.376 0.337
-3.468 -7.194 5.309
-0.864 -6.525 6.338
1.885 -5.072 2.444
-2.990 -4.597 6.655
0.638 -4.658 5.027
-0.270 -3.070 2.772
-1.521 -2.737 5.731
0.198 -6.898 3.866
-0.966 -3.060 0.070
-2.952 -3.647 1.778
-0.409 -0.768 1.615
-5.669 -5.191 5.640
-0.739 -5.684 1.468
-3.328 -3.581 -0.936
-1.678 -5.219 4.140
-1.677 -7.087 4.637
-1.018 -4.599 6.016
-4.261 -2.763 0.631
```